[1]
Pm6Sn6H PBE relaxed; raw total energy = -4.852 eV per atom; space group = P6/mmm (191)
1.0
6.627 0.000 0.000
-3.313 5.739 0.000
0.000 0.000 10.330
Pm Sn H
6 6 1
Direct
0.000 0.000 0.207 Pm
0.000 0.000 0.793 Pm
0.333 0.667 0.000 Pm
0.333 0.667 0.500 Pm
0.667 0.333 0.000 Pm
0.667 0.333 0.500 Pm
0.000 0.500 0.251 Sn
0.000 0.500 0.749 Sn
0.500 0.000 0.251 Sn
0.500 0.000 0.749 Sn
0.500 0.500 0.251 Sn
0.500 0.500 0.749 Sn
0.000 0.000 0.000 H

---

[2]
Pm4SnH PBE relaxed; raw total energy = -4.696 eV per atom; space group = P-1 (2)
1.0
6.091 0.000 0.000
-0.002 7.261 0.000
-3.034 -2.412 7.201
Pm Sn H
8 2 2
Direct
0.015 0.449 0.197 Pm
0.184 0.949 0.197 Pm
0.232 0.850 0.638 Pm
0.405 0.350 0.639 Pm
0.595 0.650 0.361 Pm
0.768 0.150 0.362 Pm
0.816 0.051 0.803 Pm
0.985 0.551 0.803 Pm
0.389 0.249 0.000 Sn
0.611 0.751 0.000 Sn
0.000 0.500 0.500 H
0.500 0.000 0.500 H

---

[3]
Sr5Pm3H12 PBE relaxed; raw total energy = -3.477 eV per atom; space group = Ia-3d (230)
1.0
-7.026 7.026 7.026
7.026 -7.026 7.026
7.026 7.026 -7.026
Sr Pm H
20 12 48
Direct
0.000 0.000 0.000 Sr
0.000 0.000 0.500 Sr
0.000 0.500 0.000 Sr
0.000 0.500 0.500 Sr
0.125 0.750 0.875 Sr
0.125 0.875 0.250 Sr
0.250 0.125 0.875 Sr
0.250 0.625 0.375 Sr
0.375 0.250 0.625 Sr
0.375 0.625 0.750 Sr
0.500 0.000 0.000 Sr
0.500 0.000 0.500 Sr
0.500 0.500 0.000 Sr
0.500 0.500 0.500 Sr
0.625 0.375 0.250 Sr
0.625 0.750 0.375 Sr
0.750 0.375 0.625 Sr
0.750 0.875 0.125 Sr
0.875 0.125 0.750 Sr
0.875 0.250 0.125 Sr
0.125 0.250 0.375 Pm
0.125 0.375 0.750 Pm
0.250 0.375 0.125 Pm
0.250 0.875 0.625 Pm
0.375 0.125 0.250 Pm
0.375 0.750 0.125 Pm
0.625 0.250 0.875 Pm
0.625 0.875 0.750 Pm
0.750 0.125 0.375 Pm
0.750 0.625 0.875 Pm
0.875 0.625 0.250 Pm
0.875 0.750 0.625 Pm
0.073 0.233 0.157 H
0.073 0.340 0.916 H
0.076 0.733 0.660 H
0.076 0.843 0.416 H
0.084 0.657 0.424 H
0.084 0.927 0.660 H
0.157 0.073 0.233 H
0.157 0.584 0.924 H
0.160 0.233 0.576 H
0.160 0.427 0.584 H
0.233 0.157 0.073 H
0.233 0.576 0.160 H
0.267 0.340 0.924 H
0.267 0.427 0.343 H
0.340 0.916 0.073 H
0.340 0.924 0.267 H
0.343 0.267 0.427 H
0.343 0.576 0.916 H
0.416 0.076 0.843 H
0.416 0.840 0.573 H
0.424 0.084 0.657 H
0.424 0.840 0.767 H
0.427 0.343 0.267 H
0.427 0.584 0.160 H
0.573 0.416 0.840 H
0.573 0.657 0.733 H
0.576 0.160 0.233 H
0.576 0.916 0.343 H
0.584 0.160 0.427 H
0.584 0.924 0.157 H
0.657 0.424 0.084 H
0.657 0.733 0.573 H
0.660 0.076 0.733 H
0.660 0.084 0.927 H
0.733 0.573 0.657 H
0.733 0.660 0.076 H
0.767 0.424 0.840 H
0.767 0.843 0.927 H
0.840 0.573 0.416 H
0.840 0.767 0.424 H
0.843 0.416 0.076 H
0.843 0.927 0.767 H
0.916 0.073 0.340 H
0.916 0.343 0.576 H
0.924 0.157 0.584 H
0.924 0.267 0.340 H
0.927 0.660 0.084 H
0.927 0.767 0.843 H

---

[4]
SrPm2H PBE relaxed; raw total energy = -3.631 eV per atom; space group = R-3m (166)
1.0
1.867 1.078 9.973
-1.867 1.078 9.973
0.000 -2.155 9.973
Sr Pm H
1 2 1
Direct
0.000 0.000 0.000 Sr
0.121 0.121 0.121 Pm
0.879 0.879 0.879 Pm
0.500 0.500 0.500 H

---

[5]
SrPm3H PBE relaxed; raw total energy = -3.913 eV per atom; space group = Pm-3m (221)
1.0
5.259 0.000 0.000
0.000 5.259 0.000
0.000 0.000 5.259
Sr Pm H
1 3 1
Direct
0.000 0.000 0.000 Sr
0.000 0.500 0.500 Pm
0.500 0.000 0.500 Pm
0.500 0.500 0.000 Pm
0.500 0.500 0.500 H

---

[6]
SrPmH PBE relaxed; offset from the most stable computed form = 26 meV/atom; space group = P3m1 (156)
1.0
3.832 0.000 0.000
-1.916 3.319 0.000
0.000 0.000 6.263
Sr Pm H
1 1 1
Direct
0.000 0.000 0.000 Sr
0.333 0.667 0.482 Pm
0.667 0.333 0.277 H

---

[7]
SrPmH PBE relaxed; offset from the most stable computed form = 0 meV/atom; space group = C2/m (12)
1.0
6.297 -1.843 0.000
6.297 1.843 0.000
-0.381 0.000 7.259
Sr Pm H
2 2 2
Direct
0.124 0.124 0.353 Sr
0.876 0.876 0.647 Sr
0.362 0.362 0.109 Pm
0.638 0.638 0.891 Pm
0.257 0.257 0.838 H
0.743 0.743 0.162 H

---

[8]
PmTaH PBE relaxed; raw total energy = -6.388 eV per atom; space group = Amm2 (38)
1.0
11.334 0.000 0.000
0.000 1.665 2.689
0.000 -1.665 2.689
Pm Ta H
2 2 2
Direct
0.151 0.000 0.000 Pm
0.849 0.000 0.000 Pm
0.384 0.591 0.591 Ta
0.616 0.591 0.591 Ta
0.000 0.663 0.663 H
0.500 0.920 0.920 H

---

[9]
Pm2TaH PBE relaxed; raw total energy = -5.743 eV per atom; space group = R-3m (166)
1.0
1.593 0.920 9.338
-1.593 0.920 9.338
0.000 -1.839 9.338
Pm Ta H
2 1 1
Direct
0.109 0.109 0.109 Pm
0.891 0.891 0.891 Pm
0.000 0.000 0.000 Ta
0.500 0.500 0.500 H

---

[10]
PmTa2H8 PBE relaxed; raw total energy = -5.230 eV per atom; space group = Cm (8)
1.0
2.487 -4.353 0.000
2.487 4.353 0.000
-0.211 0.000 4.716
Pm Ta H
1 2 8
Direct
0.000 0.000 0.000 Pm
0.386 0.715 0.520 Ta
0.715 0.386 0.520 Ta
0.040 0.432 0.279 H
0.058 0.782 0.607 H
0.340 0.340 0.663 H
0.430 0.761 0.908 H
0.432 0.040 0.279 H
0.614 0.614 0.268 H
0.761 0.430 0.908 H
0.782 0.058 0.607 H

---

[11]
Tb2PmH PBE relaxed; offset from the most stable computed form = 0 meV/atom; space group = R-3m (166)
1.0
1.816 1.048 8.595
-1.816 1.048 8.595
0.000 -2.097 8.595
Tb Pm H
2 1 1
Direct
0.220 0.220 0.220 Tb
0.780 0.780 0.780 Tb
0.000 0.000 0.000 Pm
0.500 0.500 0.500 H

---

[12]
TbPm4H10 PBE relaxed; raw total energy = -4.483 eV per atom; space group = R-3m (166)
1.0
1.899 1.096 15.529
-1.899 1.096 15.529
0.000 -2.193 15.529
Tb Pm H
1 4 10
Direct
0.000 0.000 0.000 Tb
0.200 0.200 0.200 Pm
0.399 0.399 0.399 Pm
0.601 0.601 0.601 Pm
0.800 0.800 0.800 Pm
0.048 0.048 0.048 H
0.150 0.150 0.150 H
0.251 0.251 0.251 H
0.348 0.348 0.348 H
0.449 0.449 0.449 H
0.551 0.551 0.551 H
0.652 0.652 0.652 H
0.749 0.749 0.749 H
0.850 0.850 0.850 H
0.952 0.952 0.952 H

---

[13]
TbPmH4 PBE relaxed; raw total energy = -4.479 eV per atom; space group = I4_1/amd (141)
1.0
-2.655 2.655 5.331
2.655 -2.655 5.331
2.655 2.655 -5.331
Tb Pm H
2 2 8
Direct
0.375 0.625 0.750 Tb
0.625 0.375 0.250 Tb
0.125 0.875 0.250 Pm
0.875 0.125 0.750 Pm
0.000 0.259 0.259 H
0.000 0.741 0.741 H
0.259 0.000 0.759 H
0.259 0.500 0.259 H
0.500 0.259 0.759 H
0.500 0.741 0.241 H
0.741 0.000 0.241 H
0.741 0.500 0.741 H

---

[14]
TbPm2H PBE relaxed; offset from the most stable computed form = 253 meV/atom; space group = P4/mmm (123)
1.0
3.423 0.000 0.000
0.000 3.423 0.000
0.000 0.000 8.600
Tb Pm H
1 2 1
Direct
0.000 0.000 0.000 Tb
0.500 0.500 0.309 Pm
0.500 0.500 0.691 Pm
0.000 0.000 0.500 H

---

[15]
TbPm2H8 PBE relaxed; raw total energy = -4.327 eV per atom; space group = Immm (71)
1.0
-1.882 2.629 5.636
1.882 -2.629 5.636
1.882 2.629 -5.636
Tb Pm H
1 2 8
Direct
0.000 0.000 0.000 Tb
0.331 0.331 0.000 Pm
0.669 0.669 0.000 Pm
0.100 0.843 0.257 H
0.162 0.662 0.500 H
0.259 0.500 0.759 H
0.414 0.157 0.257 H
0.586 0.843 0.743 H
0.741 0.500 0.241 H
0.838 0.338 0.500 H
0.900 0.157 0.743 H

---

[16]
Tb5Pm3H12 PBE relaxed; raw total energy = -4.343 eV per atom; space group = Ia-3d (230)
1.0
-6.647 6.647 6.647
6.647 -6.647 6.647
6.647 6.647 -6.647
Tb Pm H
20 12 48
Direct
0.000 0.000 0.000 Tb
0.000 0.000 0.500 Tb
0.000 0.500 0.000 Tb
0.000 0.500 0.500 Tb
0.125 0.750 0.875 Tb
0.125 0.875 0.250 Tb
0.250 0.125 0.875 Tb
0.250 0.625 0.375 Tb
0.375 0.250 0.625 Tb
0.375 0.625 0.750 Tb
0.500 0.000 0.000 Tb
0.500 0.000 0.500 Tb
0.500 0.500 0.000 Tb
0.500 0.500 0.500 Tb
0.625 0.375 0.250 Tb
0.625 0.750 0.375 Tb
0.750 0.375 0.625 Tb
0.750 0.875 0.125 Tb
0.875 0.125 0.750 Tb
0.875 0.250 0.125 Tb
0.125 0.250 0.375 Pm
0.125 0.375 0.750 Pm
0.250 0.375 0.125 Pm
0.250 0.875 0.625 Pm
0.375 0.125 0.250 Pm
0.375 0.750 0.125 Pm
0.625 0.250 0.875 Pm
0.625 0.875 0.750 Pm
0.750 0.125 0.375 Pm
0.750 0.625 0.875 Pm
0.875 0.625 0.250 Pm
0.875 0.750 0.625 Pm
0.062 0.222 0.148 H
0.062 0.340 0.914 H
0.074 0.722 0.660 H
0.074 0.852 0.414 H
0.086 0.648 0.426 H
0.086 0.938 0.660 H
0.148 0.062 0.222 H
0.148 0.586 0.926 H
0.160 0.222 0.574 H
0.160 0.438 0.586 H
0.222 0.148 0.062 H
0.222 0.574 0.160 H
0.278 0.340 0.926 H
0.278 0.438 0.352 H
0.340 0.914 0.062 H
0.340 0.926 0.278 H
0.352 0.278 0.438 H
0.352 0.574 0.914 H
0.414 0.074 0.852 H
0.414 0.840 0.562 H
0.426 0.086 0.648 H
0.426 0.840 0.778 H
0.438 0.352 0.278 H
0.438 0.586 0.160 H
0.562 0.414 0.840 H
0.562 0.648 0.722 H
0.574 0.160 0.222 H
0.574 0.914 0.352 H
0.586 0.160 0.438 H
0.586 0.926 0.148 H
0.648 0.426 0.086 H
0.648 0.722 0.562 H
0.660 0.074 0.722 H
0.660 0.086 0.938 H
0.722 0.562 0.648 H
0.722 0.660 0.074 H
0.778 0.426 0.840 H
0.778 0.852 0.938 H
0.840 0.562 0.414 H
0.840 0.778 0.426 H
0.852 0.414 0.074 H
0.852 0.938 0.778 H
0.914 0.062 0.340 H
0.914 0.352 0.574 H
0.926 0.148 0.586 H
0.926 0.278 0.340 H
0.938 0.660 0.086 H
0.938 0.778 0.852 H

---

[17]
TbPmH PBE relaxed; offset from the most stable computed form = 0 meV/atom; space group = Pnma (62)
1.0
12.923 0.000 0.000
0.000 3.758 0.000
0.000 0.000 5.901
Tb Pm H
4 4 4
Direct
0.044 0.250 0.247 Tb
0.456 0.750 0.747 Tb
0.544 0.250 0.253 Tb
0.956 0.750 0.753 Tb
0.209 0.250 0.762 Pm
0.291 0.750 0.262 Pm
0.709 0.250 0.738 Pm
0.791 0.750 0.238 Pm
0.208 0.250 0.153 H
0.292 0.750 0.653 H
0.708 0.250 0.347 H
0.792 0.750 0.847 H